Below is crystalline PmIn5Ir at its relaxed geometry, with properties calculated at the PBE-GGA level.

Results
Uncorrected energy   -30.02 eV/f.u.
Fermi-level density of states   0.3244 states/eV per atom
Spin magnetization   0.000 μB per cell

Lattice parameters (Å, degrees): 4.6980 4.6980 7.5859 90.00 90.00 90.00
Closest atoms and distances in Å follow each position.
Element x y z (fractional)
In: 0.0000 0.5000 0.6971  2 Ir 2.78, 1 In 2.99
Pm: 0.0000 0.0000 0.0000  12 In 3.29-3.32
In: 0.5000 0.0000 0.3029  2 Ir 2.78, 1 In 2.99
In: 0.5000 0.0000 0.6971  2 Ir 2.78, 1 In 2.99
In: 0.0000 0.5000 0.3029  2 Ir 2.78, 1 In 2.99
In: 0.5000 0.5000 0.0000  8 In 3.29, 4 Pm 3.32
Ir: 0.0000 0.0000 0.5000  8 In 2.78